# 1
First-principles (PBEsol) data for a relaxed structure of BiSb2IO, as listed in the Alexandria database.

abc: 5.8847 5.8847 6.0620
angles: 90.00 90.00 90.00
Last column: nearest neighbours and their distance in Å.
Element x y z (fractional)
Bi1 0.0000 0.0000 0.0000  4 Sb 2.94, 2 I 3.03
Sb1 0.0000 0.5000 0.0000  2 Bi 2.94
Sb2 0.5000 0.0000 0.0000  2 Bi 2.94
I1 0.0000 0.0000 0.5000  2 Bi 3.03
O1 0.5000 0.5000 0.5000  4 I 4.16, 8 Sb 4.22

Formation energy (no corrections): 1.25 eV/atom
V: 209.9 Å³/cell
Space group: P4/mmm

# 2
First-principles (PBEsol) data for a relaxed structure of InH7N2OF4, as listed in the Alexandria database.

abc: 6.6999 8.5939 9.1918
angles: 90.00 90.00 90.00
Last column: nearest neighbours and their distance in Å.
Element x y z (fractional)
In1 0.1318 0.2053 0.0487  6 F 2.07-2.19, 1 O 2.18
In2 0.3682 0.7947 0.5487  6 F 2.07-2.19, 1 O 2.18
In3 0.6318 0.2947 0.9513  6 F 2.07-2.19, 1 O 2.18
In4 0.8682 0.7053 0.4513  6 F 2.07-2.19, 1 O 2.18
H1 0.0014 0.4694 0.2583  1 O 1.01
H2 0.0442 0.0737 0.5793  1 N 1.03
H3 0.0749 0.4045 0.6089  1 N 1.05
H4 0.1008 0.6769 0.8149  1 N 1.04
H5 0.2071 0.2837 0.7178  1 N 1.05
H6 0.2358 0.0001 0.2772  1 O 1.01
H7 0.2438 0.7157 0.0364  1 N 1.06
H8 0.2562 0.2843 0.5364  1 N 1.06
H9 0.2642 0.9999 0.7772  1 O 1.01
H10 0.2929 0.7163 0.2178  1 N 1.05
H11 0.3992 0.3231 0.3149  1 N 1.04
H12 0.4251 0.5955 0.1089  1 N 1.05
H13 0.4558 0.9263 0.0793  1 N 1.03
H14 0.4986 0.5306 0.7583  1 O 1.01
H15 0.5014 0.0306 0.7417  1 O 1.01
H16 0.5442 0.4263 0.4207  1 N 1.03
H17 0.5749 0.0955 0.3911  1 N 1.05
H18 0.6008 0.8231 0.1851  1 N 1.04
H19 0.7071 0.2163 0.2822  1 N 1.05
H20 0.7358 0.4999 0.7228  1 O 1.01
H21 0.7438 0.7843 0.9636  1 N 1.06
H22 0.7562 0.2157 0.4636  1 N 1.06
H23 0.7642 0.5001 0.2228  1 O 1.01
H24 0.7929 0.7837 0.7822  1 N 1.05
H25 0.8992 0.1769 0.6851  1 N 1.04
H26 0.9251 0.9045 0.8911  1 N 1.05
H27 0.9558 0.5737 0.9207  1 N 1.03
H28 0.9986 0.9694 0.2417  1 O 1.01
N1 0.0183 0.6832 0.9102  2 H 1.03-1.04
N2 0.1402 0.2932 0.6147  3 H 1.05-1.06
N3 0.3598 0.7068 0.1147  3 H 1.05-1.06
N4 0.4817 0.3168 0.4102  2 H 1.03-1.04
N5 0.5183 0.8168 0.0898  2 H 1.03-1.04
N6 0.6402 0.2068 0.3853  3 H 1.05-1.06
N7 0.8598 0.7932 0.8853  3 H 1.05-1.06
N8 0.9817 0.1832 0.5898  2 H 1.03-1.04
O1 0.1283 0.0116 0.2010  2 H 1.01
O2 0.3717 0.9884 0.7010  2 H 1.01
O3 0.6283 0.4884 0.7990  2 H 1.01
O4 0.8717 0.5116 0.2990  2 H 1.01
F1 0.0564 0.8516 0.5886  1 H 1.91
F2 0.1023 0.0340 0.8892  2 H 1.52-1.63
F3 0.1774 0.6875 0.3827  1 H 1.72
F4 0.1806 0.3865 0.1927  1 H 1.52
F5 0.3194 0.6135 0.6927  1 H 1.52
F6 0.3226 0.3125 0.8827  1 H 1.72
F7 0.3977 0.9660 0.3892  2 H 1.52-1.63
F8 0.4436 0.1484 0.0886  1 H 1.91
F9 0.5564 0.6484 0.4114  1 H 1.91
F10 0.6023 0.4660 0.1108  2 H 1.52-1.63
F11 0.6774 0.8125 0.6173  1 H 1.72
F12 0.6806 0.1135 0.8073  1 H 1.52
F13 0.8194 0.8865 0.3073  1 H 1.52
F14 0.8226 0.1875 0.1173  1 H 1.72
F15 0.8977 0.5340 0.6108  2 H 1.52-1.63
F16 0.9436 0.3516 0.9114  1 H 1.91

V: 529.2 Å³/cell
Space group: P2_12_12_1
VASP energy: -5.00 eV/atom

# 3
First-principles (PBEsol) data for a relaxed structure of ZrTa2Ni, as listed in the Alexandria database.

abc: 3.2407 3.2407 6.4079
angles: 90.00 90.00 90.00
Last column: nearest neighbours and their distance in Å.
Element x y z (fractional)
Zr1 0.0000 0.0000 0.0000  4 Ni 2.80, 5 Ta 2.90-3.05
Ta1 0.0000 0.0000 0.4758  4 Ni 2.71, 4 Ta 2.78
Ta2 0.5000 0.5000 0.7221  4 Ta 2.78, 4 Zr 2.90, 1 Ni 3.02
Ni1 0.5000 0.5000 0.2512  5 Ta 2.71-3.02, 4 Zr 2.80

V: 67.3 Å³/cell
Energy of formation: -0.07 eV/atom
Space group: P4mm

# 4
First-principles (PBEsol) data for a relaxed structure of MnSeBr2F, as listed in the Alexandria database.

abc: 5.3402 5.3402 3.8847
angles: 90.00 90.00 90.00
Last column: nearest neighbours and their distance in Å.
Element x y z (fractional)
Mn1 0.0000 0.0000 0.0000  8 Br 3.30
Se1 0.5000 0.5000 0.0000  2 F 1.94
Br1 0.0000 0.5000 0.5000  2 F 2.67
Br2 0.5000 0.0000 0.5000  2 F 2.67
F1 0.5000 0.5000 0.5000  2 Se 1.94

Formation energy (no corrections): 0.23 eV/atom
V: 110.8 Å³/cell
Space group: P4/mmm